Record 1
# CaPbCl2 (PBE-GGA, relaxed)
# Crystal system   monoclinic
# Raw formation energy   -1.249 eV/atom
# Spin magnetization   0.00 Bohr magnetons per cell
# Excess energy over the best structure of this formula in the dataset   1.11 eV per formula unit
data_CaPbCl2
_cell_length_a 6.022
_cell_length_b 3.581
_cell_length_c 6.037
_cell_angle_alpha 90.00
_cell_angle_beta 105.29
_cell_angle_gamma 90.00
_symmetry_space_group_name_H-M 'P 1 2/m 1'
_symmetry_Int_Tables_number 10
loop_
_symmetry_equiv_pos_as_xyz
'x,y,z'
'-x,-y,-z'
'-x,y,-z'
'x,-y,z'
loop_
_atom_site_label
_atom_site_fract_x
_atom_site_fract_y
_atom_site_fract_z
Ca1 0.000 0.000 0.000
Pb1 0.500 0.000 0.500
Cl1 0.207 0.500 0.793



Record 2
# CaPbCl2 (PBE-GGA, relaxed)
# Crystal system   tetragonal
# Raw formation energy   -0.969 eV/atom
# Spin magnetization   0.00 Bohr magnetons per cell
# Excess energy over the best structure of this formula in the dataset   2.23 eV per formula unit
data_CaPbCl2
_cell_length_a 4.870
_cell_length_b 4.870
_cell_length_c 8.904
_cell_angle_alpha 90.00
_cell_angle_beta 90.00
_cell_angle_gamma 90.00
_symmetry_space_group_name_H-M 'I 4/m m m'
_symmetry_Int_Tables_number 139
_symmetry_space_group_name_Hall '-I 4 2'
loop_
_atom_site_label
_atom_site_fract_x
_atom_site_fract_y
_atom_site_fract_z
Ca1 0.000 0.000 0.000
Pb1 0.000 0.000 0.500
Cl1 0.000 0.500 0.250



Record 3
# CaPbCl2 (PBE-GGA, relaxed)
# Crystal system   trigonal
# Raw formation energy   -1.527 eV/atom
# Spin magnetization   0.00 Bohr magnetons per cell
# Excess energy over the best structure of this formula in the dataset   0.00 eV per formula unit
data_CaPbCl2
_cell_length_a 3.7965
_cell_length_b 3.7965
_cell_length_c 35.5815
_cell_angle_alpha 90.00
_cell_angle_beta 90.00
_cell_angle_gamma 120.00
_symmetry_space_group_name_H-M 'R -3 m'
_symmetry_Int_Tables_number 166
_symmetry_space_group_name_Hall '-R 3 2"'
loop_
_atom_site_label
_atom_site_fract_x
_atom_site_fract_y
_atom_site_fract_z
Ca1 0.0000 0.0000 0.0000
Pb1 0.0000 0.0000 0.5000
Cl1 0.0000 0.0000 0.2892



Record 4
# Ca3PbCl8 (PBE-GGA, relaxed)
# Crystal system   monoclinic
# Raw formation energy   -2.075 eV/atom
# Spin magnetization   0.00 Bohr magnetons per cell
data_Ca3PbCl8
_cell_length_a 13.436
_cell_length_b 8.424
_cell_length_c 7.985
_cell_angle_alpha 90.00
_cell_angle_beta 121.30
_cell_angle_gamma 90.00
_symmetry_space_group_name_H-M 'C 1 2/m 1'
_symmetry_Int_Tables_number 12
loop_
_symmetry_equiv_pos_as_xyz
'x,y,z'
'-x,-y,-z'
'-x,y,-z'
'x,-y,z'
'x+1/2,y+1/2,z'
'-x+1/2,-y+1/2,-z'
'-x+1/2,y+1/2,-z'
'x+1/2,-y+1/2,z'
loop_
_atom_site_label
_atom_site_fract_x
_atom_site_fract_y
_atom_site_fract_z
Ca1 0.000 0.000 0.000
Ca2 0.250 0.250 0.500
Pb1 0.000 0.500 0.000
Cl1 0.011 0.239 0.247
Cl2 0.241 0.000 0.262
Cl3 0.249 0.000 0.725



Number 1: N(E_F) 2.369 states/eV/cell, total energy -3.5995 eV/atom. Number 2: N(E_F) 5.228 states/eV/cell, total energy -3.3198 eV/atom. Number 3: N(E_F) 3.535 states/eV/cell, total energy -3.8775 eV/atom. Number 4: N(E_F) 0.000 states/eV/cell, total energy -4.1160 eV/atom.